No. 1
First-principles (PBE) data for CoReSb after structural relaxation, as listed in Alexandria.

Cell: 4.2859 4.2859 2.9190 Å, 90.00 90.00 120.00°
Space group P-6m2 (No. 187)
One atom of each set of equivalent atoms:
Co (0.0000, 0.0000, 0.0000) [1 per cell]
Re (0.6667, 0.3333, 0.5000) [1 per cell]
Sb (0.3333, 0.6667, 0.0000) [1 per cell]

E above lowest polymorph	92	meV per atom
E_tot	-0.269	hartree per atom

No. 2
First-principles (PBE) data for Co2ReSb after structural relaxation, as listed in Alexandria.

Cell: 3.786 3.786 7.857 Å, 90.00 90.00 90.00°
Space group I-4m2 (No. 119)
One atom of each set of equivalent atoms:
Co (0.000, 0.000, 0.000) [2 per cell]
Co (0.000, 0.500, 0.250) [2 per cell]
Re (0.000, 0.000, 0.500) [2 per cell]
Sb (0.000, 0.500, 0.750) [2 per cell]

E_tot	-0.270	hartree per atom

No. 3
First-principles (PBE) data for CoRe2Sb after structural relaxation, as listed in Alexandria.

Cell: 3.035 4.814 4.469 Å, 90.00 93.12 90.00°
Space group P2/m (No. 10)
One atom of each set of equivalent atoms:
Co (0.000, 0.000, 0.000) [1 per cell]
Re (0.293, 0.500, 0.220) [2 per cell]
Sb (0.500, 0.000, 0.500) [1 per cell]

E_tot	-0.310	hartree per atom

no.,E_form (uncorrected) (eV/atom),DOS at the Fermi energy (states/eV/atom)
1,0.575,0.9141
2,0.339,1.3795
3,0.604,0.5790